! LaSmErMg | Alexandria via LeMat-Bulk | GGA-PBE | optimized geometry; values from VASP
! - Magnetization: 0.00 μB/f.u.
! - DFT total energy: -0.1447 hartree per atom
! - Density: 6.37 Mg/m³
! - SG: No. 216
! - V: 125 Å³ per cell
! - Excess energy over the best structure of this formula in the dataset: 33 meV per atom
&SYSTEM
  ibrav = 0, nat = 4, ntyp = 4
/
ATOMIC_SPECIES
Mg 24.30 Mg.upf
Sm 150.36 Sm.upf
La 138.91 La.upf
Er 167.26 Er.upf
CELL_PARAMETERS angstrom
-4.928 -2.113 1.671
-0.321 -2.937 4.776
-2.621 2.177 4.465
ATOMIC_POSITIONS angstrom
Mg 0.000 0.000 0.000
Sm -1.967 -0.718 2.728
La -5.902 -2.155 8.184
Er -3.935 -1.437 5.456

=====

! CeLuMgMo | Alexandria via LeMat-Bulk | GGA-PBE | optimized geometry; values from VASP
! - Magnetization: 0.00 μB/f.u.
! - DFT total energy: -0.2037 hartree per atom
! - Density: 7.95 Mg/m³
! - SG: No. 216
! - V: 91 Å³ per cell
&SYSTEM
  ibrav = 0, nat = 4, ntyp = 4
/
ATOMIC_SPECIES
Lu 174.97 Lu.upf
Mo 95.94 Mo.upf
Mg 24.30 Mg.upf
Ce 140.12 Ce.upf
CELL_PARAMETERS angstrom
5.048 0.000 0.000
2.524 4.371 0.000
2.524 1.457 4.121
ATOMIC_POSITIONS angstrom
Lu 2.524 1.457 1.030
Mo 0.000 0.000 0.000
Mg 5.048 2.914 2.061
Ce 7.572 4.371 3.091